No. 1
The following is a GGA-PBE calculation of a relaxed structure of LaErZnHg, from Alexandria. Values from VASP.

Calculated values
Energy of formation   -0.369 eV/atom
Symmetry   F-43m, No. 216
Distance to the lowest polymorph of the same formula   41 meV per atom

The structure in Quantum ESPRESSO input format:
```
&SYSTEM
  ibrav = 0, nat = 4, ntyp = 4
/
ATOMIC_SPECIES
La 138.91 La.upf
Er 167.26 Er.upf
Zn 65.41 Zn.upf
Hg 200.59 Hg.upf
ATOMIC_POSITIONS crystal
La 0.0000 0.0000 0.0000
Er 0.5000 0.5000 0.5000
Zn 0.2500 0.2500 0.2500
Hg 0.7500 0.7500 0.7500
CELL_PARAMETERS angstrom
0.0000 3.7482 3.7482
3.7482 0.0000 3.7482
3.7482 3.7482 0.0000
```

---

No. 2
The following is a GGA-PBE calculation of a relaxed structure of Zr2CdSe, from Alexandria. Values from VASP.

Calculated values
E_form (uncorrected)   -0.52 eV per atom
Symmetry   C2/m, No. 12
Distance to the lowest polymorph of the same formula   18 meV per atom

The structure in Quantum ESPRESSO input format:
```
&SYSTEM
  ibrav = 0, nat = 4, ntyp = 3
/
ATOMIC_SPECIES
Zr 91.22 Zr.upf
Cd 112.41 Cd.upf
Se 78.96 Se.upf
ATOMIC_POSITIONS crystal
Zr 0.2364 0.2364 0.2094
Zr 0.7636 0.7636 0.7906
Cd 0.0000 0.0000 0.5000
Se 0.5000 0.5000 0.0000
CELL_PARAMETERS angstrom
3.2162 -1.8486 0.0000
3.2162 1.8486 0.0000
-2.1196 0.0000 7.5361
```

---

No. 3
The following is a GGA-PBE calculation of a relaxed structure of Sm2CoCu, from Alexandria. Values from VASP.

Calculated values
Energy of formation   -0.093 eV/atom
Symmetry   Fm-3m, No. 225

The structure in Quantum ESPRESSO input format:
```
&SYSTEM
  ibrav = 0, nat = 4, ntyp = 3
/
ATOMIC_SPECIES
Sm 150.36 Sm.upf
Co 58.93 Co.upf
Cu 63.55 Cu.upf
ATOMIC_POSITIONS crystal
Sm 0.2500 0.2500 0.2500
Sm 0.7500 0.7500 0.7500
Co 0.0000 0.0000 0.0000
Cu 0.5000 0.5000 0.5000
CELL_PARAMETERS angstrom
0.0000 3.4781 3.4781
3.4781 0.0000 3.4781
3.4781 3.4781 0.0000
```

---

No. 4
The following is a GGA-PBE calculation of a relaxed structure of MnRePb2, from Alexandria. Values from VASP.

Calculated values
Energy of formation   1.146 eV/atom
Symmetry   Fm-3m, No. 225
Distance to the lowest polymorph of the same formula   730 meV per atom

The structure in Quantum ESPRESSO input format:
```
&SYSTEM
  ibrav = 0, nat = 4, ntyp = 3
/
ATOMIC_SPECIES
Mn 54.94 Mn.upf
Re 186.21 Re.upf
Pb 207.20 Pb.upf
ATOMIC_POSITIONS crystal
Mn 0.0000 0.0000 0.0000
Re 0.5000 0.5000 0.5000
Pb 0.2500 0.2500 0.2500
Pb 0.7500 0.7500 0.7500
CELL_PARAMETERS angstrom
0.0000 3.3336 3.3336
3.3336 0.0000 3.3336
3.3336 3.3336 0.0000
```

---

No. 5
The following is a GGA-PBE calculation of a relaxed structure of MgCd2Tc, from Alexandria. Values from VASP.

Calculated values
Energy of formation   0.288 eV/atom
Symmetry   I4/mmm, No. 139

The structure in Quantum ESPRESSO input format:
```
&SYSTEM
  ibrav = 0, nat = 4, ntyp = 3
/
ATOMIC_SPECIES
Mg 24.30 Mg.upf
Cd 112.41 Cd.upf
Tc 98.00 Tc.upf
ATOMIC_POSITIONS crystal
Mg 0.0000 0.0000 0.0000
Cd 0.2500 0.7500 0.5000
Cd 0.7500 0.2500 0.5000
Tc 0.5000 0.5000 0.0000
CELL_PARAMETERS angstrom
-2.0419 2.0419 4.4107
2.0419 -2.0419 4.4107
2.0419 2.0419 -4.4107
```

---

No. 6
The following is a GGA-PBE calculation of a relaxed structure of Na2NbHgBr, from Alexandria. Values from VASP.

Calculated values
E_form (uncorrected)   0.87 eV per atom
Symmetry   P4/mmm, No. 123

The structure in Quantum ESPRESSO input format:
```
&SYSTEM
  ibrav = 0, nat = 5, ntyp = 4
/
ATOMIC_SPECIES
Na 22.99 Na.upf
Nb 92.91 Nb.upf
Hg 200.59 Hg.upf
Br 79.90 Br.upf
ATOMIC_POSITIONS crystal
Na 0.0000 0.5000 0.0000
Na 0.5000 0.0000 0.0000
Nb 0.0000 0.0000 0.5000
Hg 0.5000 0.5000 0.0000
Br 0.5000 0.5000 0.5000
CELL_PARAMETERS angstrom
5.4551 0.0000 0.0000
0.0000 5.4551 0.0000
0.0000 0.0000 6.2085
```

---

No. 7
The following is a GGA-PBE calculation of a relaxed structure of BeC2, from Alexandria. Values from VASP.

Calculated values
Energy of formation   0.537 eV/atom
Symmetry   C2/m, No. 12
Distance to the lowest polymorph of the same formula   151 meV per atom

The structure in Quantum ESPRESSO input format:
```
&SYSTEM
  ibrav = 0, nat = 6, ntyp = 2
/
ATOMIC_SPECIES
Be 9.01 Be.upf
C 12.01 C.upf
ATOMIC_POSITIONS crystal
Be 0.1986 0.1986 0.3151
Be 0.8014 0.8014 0.6849
C 0.4207 0.4207 0.5607
C 0.4329 0.4329 0.8682
C 0.5671 0.5671 0.1318
C 0.5793 0.5793 0.4393
CELL_PARAMETERS angstrom
3.9577 -1.4783 0.0000
3.9577 1.4783 0.0000
-1.1849 0.0000 4.4457
```

---

No. 8
The following is a GGA-PBE calculation of a relaxed structure of Cs2Er3Se6, from Alexandria. Values from VASP.

Calculated values
E_form (uncorrected)   -1.65 eV per atom
Symmetry   C2/m, No. 12

The structure in Quantum ESPRESSO input format:
```
&SYSTEM
  ibrav = 0, nat = 11, ntyp = 3
/
ATOMIC_SPECIES
Cs 132.91 Cs.upf
Er 167.26 Er.upf
Se 78.96 Se.upf
ATOMIC_POSITIONS crystal
Cs 0.1666 0.8334 0.0000
Cs 0.8334 0.1666 0.0000
Er 0.0000 0.0000 0.5000
Er 0.3332 0.6668 0.5000
Er 0.6668 0.3332 0.5000
Se 0.0617 0.3943 0.6829
Se 0.2732 0.2732 0.3173
Se 0.3943 0.0617 0.6829
Se 0.6057 0.9383 0.3171
Se 0.7268 0.7268 0.6827
Se 0.9383 0.6057 0.3171
CELL_PARAMETERS angstrom
3.5696 -6.1833 0.0000
3.5696 6.1833 0.0000
-2.3811 0.0000 8.6415
```

---

No. 9
The following is a GGA-PBE calculation of a relaxed structure of AuSeClO3, from Alexandria. Values from VASP.

Calculated values
E_form (uncorrected)   -0.46 eV per atom
Symmetry   P-1, No. 2

The structure in Quantum ESPRESSO input format:
```
&SYSTEM
  ibrav = 0, nat = 24, ntyp = 4
/
ATOMIC_SPECIES
Au 196.97 Au.upf
Se 78.96 Se.upf
Cl 35.45 Cl.upf
O 16.00 O.upf
ATOMIC_POSITIONS crystal
Au 0.0000 0.0000 0.0000
Au 0.0000 0.0000 0.5000
Au 0.0259 0.4105 0.1798
Au 0.9741 0.5895 0.8202
Se 0.1839 0.2920 0.9054
Se 0.2688 0.8735 0.7416
Se 0.7312 0.1265 0.2584
Se 0.8161 0.7080 0.0946
Cl 0.2749 0.8094 0.4676
Cl 0.2915 0.5122 0.6772
Cl 0.7085 0.4878 0.3228
Cl 0.7251 0.1906 0.5324
O 0.0470 0.2247 0.2408
O 0.0832 0.0056 0.6807
O 0.0925 0.5943 0.1203
O 0.0942 0.8275 0.0743
O 0.3167 0.3428 0.0511
O 0.3299 0.9581 0.8853
O 0.6701 0.0419 0.1147
O 0.6833 0.6572 0.9489
O 0.9058 0.1725 0.9257
O 0.9075 0.4057 0.8797
O 0.9168 0.9944 0.3193
O 0.9530 0.7753 0.7592
CELL_PARAMETERS angstrom
4.5960 0.0000 0.0000
-0.2351 9.9355 0.0000
-0.3729 -1.0457 11.0640
```

---

No. 10
The following is a GGA-PBE calculation of a relaxed structure of LaSmPdSe3, from Alexandria. Values from VASP.

Calculated values
E_form (uncorrected)   -1.64 eV per atom
Symmetry   P2_1/m, No. 11

The structure in Quantum ESPRESSO input format:
```
&SYSTEM
  ibrav = 0, nat = 12, ntyp = 4
/
ATOMIC_SPECIES
La 138.91 La.upf
Sm 150.36 Sm.upf
Pd 106.42 Pd.upf
Se 78.96 Se.upf
ATOMIC_POSITIONS crystal
La 0.1846 0.2500 0.2626
La 0.8154 0.7500 0.7374
Sm 0.3201 0.7500 0.8210
Sm 0.6799 0.2500 0.1790
Pd 0.0940 0.2500 0.5969
Pd 0.9060 0.7500 0.4031
Se 0.0840 0.2500 0.8720
Se 0.2556 0.7500 0.5065
Se 0.4161 0.7500 0.1554
Se 0.5839 0.2500 0.8446
Se 0.7444 0.2500 0.4935
Se 0.9160 0.7500 0.1280
CELL_PARAMETERS angstrom
8.2802 0.0000 0.0000
0.0000 4.0971 0.0000
-2.0244 0.0000 9.0492
```

---

No. 11
The following is a GGA-PBE calculation of a relaxed structure of Sc2NbIrO, from Alexandria. Values from VASP.

Calculated values
E_form (uncorrected)   -0.79 eV per atom
Symmetry   P4/mmm, No. 123

The structure in Quantum ESPRESSO input format:
```
&SYSTEM
  ibrav = 0, nat = 5, ntyp = 4
/
ATOMIC_SPECIES
Sc 44.96 Sc.upf
Nb 92.91 Nb.upf
Ir 192.22 Ir.upf
O 16.00 O.upf
ATOMIC_POSITIONS crystal
Sc 0.0000 0.5000 0.0000
Sc 0.5000 0.0000 0.0000
Nb 0.0000 0.0000 0.5000
Ir 0.5000 0.5000 0.5000
O 0.5000 0.5000 0.0000
CELL_PARAMETERS angstrom
4.2693 0.0000 0.0000
0.0000 4.2693 0.0000
0.0000 0.0000 4.3984
```

---

No. 12
The following is a GGA-PBE calculation of a relaxed structure of Tl5GaAu4, from Alexandria. Values from VASP.

Calculated values
Energy of formation   -0.040 eV/atom
Symmetry   C2/m, No. 12

The structure in Quantum ESPRESSO input format:
```
&SYSTEM
  ibrav = 0, nat = 10, ntyp = 3
/
ATOMIC_SPECIES
Tl 204.38 Tl.upf
Ga 69.72 Ga.upf
Au 196.97 Au.upf
ATOMIC_POSITIONS crystal
Tl 0.0000 0.0000 0.0000
Tl 0.3157 0.3157 0.8981
Tl 0.3342 0.3342 0.4901
Tl 0.6658 0.6658 0.5099
Tl 0.6843 0.6843 0.1019
Ga 0.0000 0.0000 0.5000
Au 0.1438 0.1438 0.7832
Au 0.4905 0.4905 0.2660
Au 0.5095 0.5095 0.7340
Au 0.8562 0.8562 0.2168
CELL_PARAMETERS angstrom
9.4241 -1.8755 0.0000
9.4241 1.8755 0.0000
-3.6039 0.0000 7.4482
```

---

Number 1: ρ 9.0 g/cm³. Number 2: ρ 6.9 g/cm³. Number 3: ρ 8.4 g/cm³. Number 4: ρ 14.7 g/cm³. Number 5: ρ 7.8 g/cm³. Number 6: ρ 3.8 g/cm³. Number 7: ρ 2.1 g/cm³. Number 8: ρ 5.4 g/cm³. Number 9: ρ 4.7 g/cm³. Number 10: ρ 6.8 g/cm³. Number 11: ρ 8.1 g/cm³. Number 12: ρ 11.9 g/cm³.